# 1
Be2Zn2Sn (GGA-PBE, relaxed); mass density = 5.813 g cm⁻³; raw total energy = -0.18062 Ry/atom; SG = I4/mmm; relative energy among the computed polymorphs = 0.0 meV/atom
1.0
-3.2323 1.5382 -0.8190
-1.6357 -2.0827 2.5439
-1.5063 3.7467 4.7493
Be Zn Sn
2 2 1
Direct
0.2500 0.7500 0.5000 Be
0.7500 0.2500 0.5000 Be
0.3838 0.3838 0.2324 Zn
0.6162 0.6162 0.7676 Zn
0.0000 0.0000 0.0000 Sn

# 2
BeZn2Sn2 (GGA-PBE, relaxed); mass density = 6.394 g cm⁻³; raw total energy = -0.18519 Ry/atom; SG = P4/mbm; relative energy among the computed polymorphs = 0.0 meV/atom
1.0
6.6305 0.0000 0.0000
0.0000 6.6305 0.0000
0.0000 0.0000 4.4573
Sn Zn Be
4 4 2
Direct
0.6744 0.8256 0.5000 Sn
0.8256 0.3256 0.5000 Sn
0.3256 0.1744 0.5000 Sn
0.1744 0.6744 0.5000 Sn
0.6421 0.1421 0.0000 Zn
0.8579 0.6421 0.0000 Zn
0.1421 0.3579 0.0000 Zn
0.3579 0.8579 0.0000 Zn
0.5000 0.5000 0.0000 Be
0.0000 0.0000 0.0000 Be

# 3
ZrBe2Sn4 (GGA-PBE, relaxed); mass density = 4.984 g cm⁻³; raw total energy = -0.29654 Ry/atom; SG = I4/mmm
1.0
-1.2028 -5.3754 0.9625
2.0363 -1.3560 -5.0283
6.0567 -4.1794 0.4706
Sn Zr Be
4 1 2
Direct
0.0000 0.5000 0.0000 Sn
0.5000 0.0000 0.0000 Sn
0.7753 0.7753 0.4494 Sn
0.2247 0.2247 0.5506 Sn
0.0000 0.0000 0.0000 Zr
0.5828 0.5828 0.8344 Be
0.4172 0.4172 0.1656 Be

Across the entries above, D(E_F) takes the values 1.6, 2.1, 2.4 states/eV/f.u., respectively.